Density functional theory data (GGA+U) for NaMoCO2 after structural relaxation.

The calculation puts the density of states at the Fermi level at 0.234 states/eV/atom. Its theoretical density is 4.1 Mg/m³. Its total magnetization is 0.194 μB per atom. Its total energy is -5.900 eV per atom.

a b c (Å): 3.9659 4.1649 3.9659
angles (deg): 90.00 90.00 90.00
Last column: magnetic moment on the atom in μB.
Element x y z (fractional)
Na  0.5000  0.5000  0.5000  0.01
O  0.5000  0.0000  0.0000  0.23
O  0.0000  0.0000  0.5000  0.10
C  0.0000  0.5000  0.0000  0.59
Mo  0.0000  0.0000  0.0000  -0.62